Below is a relaxed RbTl2CrMo crystal, with properties calculated at the PBEsol level.

POSCAR file:
```
RbTl2CrMo
1.0
5.493 0.000 0.000
0.000 5.493 0.000
0.000 0.000 4.582
Rb Tl Cr Mo
1 2 1 1
direct
0.000 0.000 0.000 Rb
0.000 0.500 0.500 Tl
0.500 0.000 0.500 Tl
0.500 0.500 0.000 Cr
0.500 0.500 0.500 Mo
```

Calculated values
Total DFT energy (no corrections) = -4.942 eV/atom
Symmetry = P4/mmm (123)
Size of the total moment = 2.28 μB per formula unit
Theoretical density = 7.7 g/cm3
E_form = 16.5 kcal/mol of atoms